5
Lattice="5.438 0.000 0.000 0.000 4.867 0.000 0.000 0.000 5.438" Properties=species:S:1:pos:R:3 comment="In2GaGeC | Alexandria | PBE | optimized geometry" total_energy_ev_per_atom=-2.8659 formation_energy_ev_per_atom=1.603 pbc="T T T"
Ge 0.000 0.000 0.000
C 2.719 2.433 2.719
Ga 0.000 2.433 0.000
In 0.000 0.000 2.719
In 2.719 0.000 0.000